[1]
A relaxed structure of YBe2Cr, computed with PBE.

Calculated values
Relative energy among the computed polymorphs (meV/atom): 45
Spin magnetization (μB per cell): 1.94
Energy of formation from the pure elements (eV/atom): 0.18
Fermi-level density of states (states/eV per cell): 2.3

Structure (CIF):
```
data_YBe2Cr
_cell_length_a 3.081
_cell_length_b 3.081
_cell_length_c 6.125
_cell_angle_alpha 90.00
_cell_angle_beta 90.00
_cell_angle_gamma 90.00
_space_group_name_H-M_alt 'P 4/m m m'
_space_group_IT_number 123
_space_group_name_Hall '-P 4 2'
loop_
_atom_site_label
_atom_site_fract_x
_atom_site_fract_y
_atom_site_fract_z
Y1 0.000 0.000 0.000
Be1 0.500 0.500 0.324
Cr1 0.000 0.000 0.500
```


[2]
A relaxed structure of YBe2Cr, computed with PBE.

Calculated values
Relative energy among the computed polymorphs (meV/atom): 411
Spin magnetization (μB per cell): 12.54
Energy of formation from the pure elements (eV/atom): 0.54
Fermi-level density of states (states/eV per cell): 11.7

Structure (CIF):
```
data_YBe2Cr
_cell_length_a 4.198
_cell_length_b 4.198
_cell_length_c 16.272
_cell_angle_alpha 90.00
_cell_angle_beta 90.00
_cell_angle_gamma 90.00
_space_group_name_H-M_alt 'I 41/a m d'
_space_group_IT_number 141
loop_
_space_group_symop_operation_xyz
'x,y,z'
'-x,-y,-z'
'-y+1/4,x+3/4,z+1/4'
'y+1/4,-x+3/4,-z+1/4'
'-x+1/2,-y,z+1/2'
'x+1/2,y,-z+1/2'
'y+1/4,-x+1/4,z+3/4'
'-y+1/4,x+1/4,-z+3/4'
'x,-y,-z'
'-x,y,z'
'-y+1/4,-x+1/4,-z+3/4'
'y+1/4,x+1/4,z+3/4'
'-x+1/2,y,-z+1/2'
'x+1/2,-y,z+1/2'
'y+1/4,x+3/4,-z+1/4'
'-y+1/4,-x+3/4,z+1/4'
'x+1/2,y+1/2,z+1/2'
'-x+1/2,-y+1/2,-z+1/2'
'-y+3/4,x+1/4,z+3/4'
'y+3/4,-x+1/4,-z+3/4'
'-x,-y+1/2,z'
'x,y+1/2,-z'
'y+3/4,-x+3/4,z+1/4'
'-y+3/4,x+3/4,-z+1/4'
'x+1/2,-y+1/2,-z+1/2'
'-x+1/2,y+1/2,z+1/2'
'-y+3/4,-x+3/4,-z+1/4'
'y+3/4,x+3/4,z+1/4'
'-x,y+1/2,-z'
'x,-y+1/2,z'
'y+3/4,x+1/4,-z+3/4'
'-y+3/4,-x+1/4,z+3/4'
loop_
_atom_site_label
_atom_site_fract_x
_atom_site_fract_y
_atom_site_fract_z
Y1 0.000 0.250 0.375
Be1 0.000 0.000 0.000
Cr1 0.000 0.250 0.875
```


What did the second record say?
A relaxed structure of YBe2Cr, computed with PBE.

Calculated values
Relative energy among the computed polymorphs (meV/atom): 411
Spin magnetization (μB per cell): 12.54
Energy of formation from the pure elements (eV/atom): 0.54
Fermi-level density of states (states/eV per cell): 11.7

Structure (CIF):
```
data_YBe2Cr
_cell_length_a 4.198
_cell_length_b 4.198
_cell_length_c 16.272
_cell_angle_alpha 90.00
_cell_angle_beta 90.00
_cell_angle_gamma 90.00
_space_group_name_H-M_alt 'I 41/a m d'
_space_group_IT_number 141
loop_
_space_group_symop_operation_xyz
'x,y,z'
'-x,-y,-z'
'-y+1/4,x+3/4,z+1/4'
'y+1/4,-x+3/4,-z+1/4'
'-x+1/2,-y,z+1/2'
'x+1/2,y,-z+1/2'
'y+1/4,-x+1/4,z+3/4'
'-y+1/4,x+1/4,-z+3/4'
'x,-y,-z'
'-x,y,z'
'-y+1/4,-x+1/4,-z+3/4'
'y+1/4,x+1/4,z+3/4'
'-x+1/2,y,-z+1/2'
'x+1/2,-y,z+1/2'
'y+1/4,x+3/4,-z+1/4'
'-y+1/4,-x+3/4,z+1/4'
'x+1/2,y+1/2,z+1/2'
'-x+1/2,-y+1/2,-z+1/2'
'-y+3/4,x+1/4,z+3/4'
'y+3/4,-x+1/4,-z+3/4'
'-x,-y+1/2,z'
'x,y+1/2,-z'
'y+3/4,-x+3/4,z+1/4'
'-y+3/4,x+3/4,-z+1/4'
'x+1/2,-y+1/2,-z+1/2'
'-x+1/2,y+1/2,z+1/2'
'-y+3/4,-x+3/4,-z+1/4'
'y+3/4,x+3/4,z+1/4'
'-x,y+1/2,-z'
'x,-y+1/2,z'
'y+3/4,x+1/4,-z+3/4'
'-y+3/4,-x+1/4,z+3/4'
loop_
_atom_site_label
_atom_site_fract_x
_atom_site_fract_y
_atom_site_fract_z
Y1 0.000 0.250 0.375
Be1 0.000 0.000 0.000
Cr1 0.000 0.250 0.875
```